BeIn2Te | Alexandria via LeMat-Bulk | PBE | relaxed; formation energy without anion corrections = 0.38 eV/atom; energy = -0.1991 Ry per atom; V = 95.9 Å³ per cell; DOS at the Fermi energy = 1.7 states/eV per cell; energy above the most stable polymorph in this dataset = 314 meV/atom
1.0
3.076 0.000 0.000
0.000 3.076 0.000
0.000 0.000 10.135
Be Te In
1 1 2
direct
0.500 0.500 0.750
0.500 0.500 0.250
0.000 0.000 0.934
0.000 0.000 0.566

***

BeIn2Te | Alexandria via LeMat-Bulk | PBE | relaxed; formation energy without anion corrections = 0.39 eV/atom; energy = -0.1985 Ry per atom; V = 99.3 Å³ per cell; DOS at the Fermi energy = 1.6 states/eV per cell; energy above the most stable polymorph in this dataset = 323 meV/atom
1.0
6.520 0.041 0.000
3.874 5.244 0.000
-5.197 -2.643 2.919
Be Te In
1 1 2
direct
0.750 0.250 0.500
0.250 0.750 0.500
0.000 0.000 0.000
0.500 0.500 0.000

***

Be2InTe | Alexandria via LeMat-Bulk | PBE | relaxed; formation energy without anion corrections = 0.38 eV/atom; energy = -0.2171 Ry per atom; V = 82.6 Å³ per cell; DOS at the Fermi energy = 1.0 states/eV per cell; energy above the most stable polymorph in this dataset = 72 meV/atom
1.0
3.660 0.000 0.000
0.000 4.030 -0.037
0.000 0.058 5.601
Be Te In
2 1 1
direct
0.000 0.753 0.063
0.000 0.747 0.437
0.500 0.750 0.750
0.500 0.250 0.250